DFT (PBE+U) results for crystalline VBi2SO at its relaxed geometry.

Output
The crystal system is tetragonal. The calculation puts the raw total energy at -4.735 eV per atom.

Geometry as CIF:
```
data_VBi2SO
_chemical_formula_sum 'V1 Bi2 S1 O1'
_symmetry_space_group_name_H-M 'P 1'
_symmetry_Int_Tables_number 1
_symmetry_space_group_name_Hall 'P 1'
_cell_length_a 5.4229
_cell_length_b 5.4229
_cell_length_c 3.7349
_cell_angle_alpha 90.00
_cell_angle_beta 90.00
_cell_angle_gamma 90.00
loop_
_atom_site_label
_atom_site_type_symbol
_atom_site_fract_x
_atom_site_fract_y
_atom_site_fract_z
_atom_site_occupancy
V1 V 0.0000 0.0000 0.0000 1
Bi1 Bi 0.0000 0.5000 0.5000 1
Bi2 Bi 0.5000 0.0000 0.5000 1
S1 S 0.5000 0.5000 0.0000 1
O1 O 0.0000 0.0000 0.5000 1
```